Entry from Alexandria via LeMat-Bulk: a relaxed RbBi2Pd crystal (PBE).

The structure in CIF format:
```
data_RbBi2Pd
_symmetry_space_group_name_H-M 'P 1'
_symmetry_Int_Tables_number 1
_cell_length_a 4.395
_cell_length_b 8.423
_cell_length_c 7.603
_cell_angle_alpha 90.00
_cell_angle_beta 90.00
_cell_angle_gamma 90.00
loop_
_symmetry_equiv_pos_as_xyz
'x,y,z'
loop_
_atom_site_label
_atom_site_type_symbol
_atom_site_fract_x
_atom_site_fract_y
_atom_site_fract_z
Rb1 Rb 0.250 0.250 0.120
Rb2 Rb 0.750 0.750 0.880
Bi1 Bi 0.250 0.052 0.649
Bi2 Bi 0.250 0.448 0.649
Bi3 Bi 0.750 0.552 0.351
Bi4 Bi 0.750 0.948 0.351
Pd1 Pd 0.250 0.750 0.447
Pd2 Pd 0.750 0.250 0.553
```

Relative energy among the computed polymorphs   0 meV/atom
Total moment   0.0 μB/cell
Formation energy   -295 meV/atom
SG   Pmmn, No. 59
N(E_F)   0.429 states/eV/atom

Entry from Alexandria via LeMat-Bulk: a relaxed RbYPb crystal (PBE).

The structure in CIF format:
```
data_RbYPb
_symmetry_space_group_name_H-M 'P 1'
_symmetry_Int_Tables_number 1
_cell_length_a 5.404
_cell_length_b 5.404
_cell_length_c 9.530
_cell_angle_alpha 106.40
_cell_angle_beta 106.40
_cell_angle_gamma 90.00
loop_
_symmetry_equiv_pos_as_xyz
'x,y,z'
loop_
_atom_site_label
_atom_site_type_symbol
_atom_site_fract_x
_atom_site_fract_y
_atom_site_fract_z
Rb1 Rb 0.182 0.182 0.364
Rb2 Rb 0.818 0.818 0.636
Y1 Y 0.000 0.500 0.000
Y2 Y 0.500 0.000 0.000
Pb1 Pb 0.402 0.402 0.804
Pb2 Pb 0.598 0.598 0.196
```

Relative energy among the computed polymorphs   105 meV/atom
Total moment   0.1 μB/cell
Formation energy   -181 meV/atom
SG   C2/m, No. 12
N(E_F)   0.617 states/eV/atom

Entry from Alexandria via LeMat-Bulk: a relaxed Pb5S4O crystal (PBE).

The structure in CIF format:
```
data_Pb5S4O
_symmetry_space_group_name_H-M 'P 1'
_symmetry_Int_Tables_number 1
_cell_length_a 14.869
_cell_length_b 14.869
_cell_length_c 14.869
_cell_angle_alpha 163.84
_cell_angle_beta 163.84
_cell_angle_gamma 22.93
loop_
_symmetry_equiv_pos_as_xyz
'x,y,z'
loop_
_atom_site_label
_atom_site_type_symbol
_atom_site_fract_x
_atom_site_fract_y
_atom_site_fract_z
Pb1 Pb 0.000 0.000 0.000
Pb2 Pb 0.200 0.200 0.000
Pb3 Pb 0.411 0.411 0.000
Pb4 Pb 0.589 0.589 0.000
Pb5 Pb 0.800 0.800 0.000
S1 S 0.099 0.099 0.000
S2 S 0.304 0.304 0.000
S3 S 0.696 0.696 0.000
S4 S 0.901 0.901 0.000
O1 O 0.500 0.500 0.000
```

Formation energy from raw total energies   -0.547 eV per atom
Total moment   0.0 μB/cell
SG   I4/mmm, No. 139
N(E_F)   0.100 states/eV/atom

Entry from Alexandria via LeMat-Bulk: a relaxed CuSnIrO6 crystal (PBE).

The structure in CIF format:
```
data_CuSnIrO6
_symmetry_space_group_name_H-M 'P 1'
_symmetry_Int_Tables_number 1
_cell_length_a 5.263
_cell_length_b 5.263
_cell_length_c 8.678
_cell_angle_alpha 90.00
_cell_angle_beta 90.00
_cell_angle_gamma 120.00
loop_
_symmetry_equiv_pos_as_xyz
'x,y,z'
loop_
_atom_site_label
_atom_site_type_symbol
_atom_site_fract_x
_atom_site_fract_y
_atom_site_fract_z
Cu1 Cu 0.000 0.000 0.000
Cu2 Cu 0.000 0.000 0.500
Sn1 Sn 0.333 0.667 0.250
Sn2 Sn 0.667 0.333 0.750
Ir1 Ir 0.333 0.667 0.750
Ir2 Ir 0.667 0.333 0.250
O1 O 0.020 0.361 0.626
O2 O 0.020 0.659 0.874
O3 O 0.341 0.361 0.874
O4 O 0.341 0.980 0.626
O5 O 0.361 0.020 0.126
O6 O 0.361 0.341 0.374
O7 O 0.639 0.659 0.626
O8 O 0.639 0.980 0.874
O9 O 0.659 0.020 0.374
O10 O 0.659 0.639 0.126
O11 O 0.980 0.341 0.126
O12 O 0.980 0.639 0.374
```

Formation energy from raw total energies   -0.786 eV per atom
Total moment   0.3 μB/cell
SG   P-31c, No. 163
N(E_F)   0.755 states/eV/atom

Entry from Alexandria via LeMat-Bulk: a relaxed MoPRu2W crystal (PBE).

The structure in CIF format:
```
data_MoPRu2W
_symmetry_space_group_name_H-M 'P 1'
_symmetry_Int_Tables_number 1
_cell_length_a 4.667
_cell_length_b 4.667
_cell_length_c 4.780
_cell_angle_alpha 90.00
_cell_angle_beta 90.00
_cell_angle_gamma 90.00
loop_
_symmetry_equiv_pos_as_xyz
'x,y,z'
loop_
_atom_site_label
_atom_site_type_symbol
_atom_site_fract_x
_atom_site_fract_y
_atom_site_fract_z
Mo1 Mo 0.000 0.000 0.000
P1 P 0.500 0.500 0.000
Ru1 Ru 0.000 0.500 0.500
Ru2 Ru 0.500 0.000 0.500
W1 W 0.000 0.000 0.500
```

Total moment   1.1 μB/cell
Formation energy   1943 meV/atom
SG   P4/mmm, No. 123
N(E_F)   1.471 states/eV/atom

Entry from Alexandria via LeMat-Bulk: a relaxed AcMgCdNi crystal (PBE).

The structure in CIF format:
```
data_AcMgCdNi
_symmetry_space_group_name_H-M 'P 1'
_symmetry_Int_Tables_number 1
_cell_length_a 5.168
_cell_length_b 5.168
_cell_length_c 5.168
_cell_angle_alpha 60.00
_cell_angle_beta 60.00
_cell_angle_gamma 60.00
loop_
_symmetry_equiv_pos_as_xyz
'x,y,z'
loop_
_atom_site_label
_atom_site_type_symbol
_atom_site_fract_x
_atom_site_fract_y
_atom_site_fract_z
Ac1 Ac 0.000 0.000 0.000
Mg1 Mg 0.500 0.500 0.500
Cd1 Cd 0.750 0.750 0.750
Ni1 Ni 0.250 0.250 0.250
```

Total moment   0.0 μB/cell
Formation energy   -56 meV/atom
SG   F-43m, No. 216
N(E_F)   0.728 states/eV/atom

Entry from Alexandria via LeMat-Bulk: a relaxed HfB2S4 crystal (PBE).

The structure in CIF format:
```
data_HfB2S4
_symmetry_space_group_name_H-M 'P 1'
_symmetry_Int_Tables_number 1
_cell_length_a 5.643
_cell_length_b 5.643
_cell_length_c 5.643
_cell_angle_alpha 102.50
_cell_angle_beta 102.50
_cell_angle_gamma 124.54
loop_
_symmetry_equiv_pos_as_xyz
'x,y,z'
loop_
_atom_site_label
_atom_site_type_symbol
_atom_site_fract_x
_atom_site_fract_y
_atom_site_fract_z
Hf1 Hf 0.000 0.000 0.000
B1 B 0.250 0.750 0.500
B2 B 0.750 0.250 0.500
S1 S 0.129 0.656 0.785
S2 S 0.344 0.129 0.473
S3 S 0.656 0.871 0.527
S4 S 0.871 0.344 0.215
```

Formation energy from raw total energies   -0.278 eV per atom
Total moment   2.0 μB/cell
SG   I4/m, No. 87
N(E_F)   0.552 states/eV/atom

Entry from Alexandria via LeMat-Bulk: a relaxed NiBRh crystal (PBE).

The structure in CIF format:
```
data_NiBRh
_symmetry_space_group_name_H-M 'P 1'
_symmetry_Int_Tables_number 1
_cell_length_a 4.038
_cell_length_b 3.363
_cell_length_c 4.752
_cell_angle_alpha 90.00
_cell_angle_beta 106.40
_cell_angle_gamma 90.00
loop_
_symmetry_equiv_pos_as_xyz
'x,y,z'
loop_
_atom_site_label
_atom_site_type_symbol
_atom_site_fract_x
_atom_site_fract_y
_atom_site_fract_z
Ni1 Ni 0.045 0.250 0.190
Ni2 Ni 0.955 0.750 0.810
B1 B 0.143 0.750 0.460
B2 B 0.857 0.250 0.540
Rh1 Rh 0.433 0.250 0.741
Rh2 Rh 0.567 0.750 0.259
```

Total moment   0.0 μB/cell
Formation energy   -219 meV/atom
SG   P2_1/m, No. 11
N(E_F)   0.817 states/eV/atom

Entry from Alexandria via LeMat-Bulk: a relaxed CrFeMo2 crystal (PBE).

The structure in CIF format:
```
data_CrFeMo2
_symmetry_space_group_name_H-M 'P 1'
_symmetry_Int_Tables_number 1
_cell_length_a 4.707
_cell_length_b 4.707
_cell_length_c 4.572
_cell_angle_alpha 100.99
_cell_angle_beta 100.99
_cell_angle_gamma 33.20
loop_
_symmetry_equiv_pos_as_xyz
'x,y,z'
loop_
_atom_site_label
_atom_site_type_symbol
_atom_site_fract_x
_atom_site_fract_y
_atom_site_fract_z
Cr1 Cr 0.000 0.000 0.000
Fe1 Fe 0.712 0.712 0.282
Mo1 Mo 0.236 0.236 0.793
Mo2 Mo 0.458 0.458 0.466
```

Relative energy among the computed polymorphs   163 meV/atom
Total moment   0.0 μB/cell
Formation energy   263 meV/atom
SG   Cm, No. 8
N(E_F)   1.047 states/eV/atom

Entry from Alexandria via LeMat-Bulk: a relaxed Tb4SmHo7 crystal (PBE).

The structure in CIF format:
```
data_Tb4SmHo7
_symmetry_space_group_name_H-M 'P 1'
_symmetry_Int_Tables_number 1
_cell_length_a 6.690
_cell_length_b 6.690
_cell_length_c 12.633
_cell_angle_alpha 115.06
_cell_angle_beta 115.06
_cell_angle_gamma 51.85
loop_
_symmetry_equiv_pos_as_xyz
'x,y,z'
loop_
_atom_site_label
_atom_site_type_symbol
_atom_site_fract_x
_atom_site_fract_y
_atom_site_fract_z
Tb1 Tb 0.135 0.135 0.275
Tb2 Tb 0.258 0.258 0.821
Tb3 Tb 0.742 0.742 0.179
Tb4 Tb 0.865 0.865 0.725
Sm1 Sm 0.500 0.500 0.500
Ho1 Ho 0.000 0.000 0.500
Ho2 Ho 0.133 0.133 0.001
Ho3 Ho 0.289 0.289 0.577
Ho4 Ho 0.438 0.438 0.176
Ho5 Ho 0.562 0.562 0.824
Ho6 Ho 0.711 0.711 0.423
Ho7 Ho 0.867 0.867 0.999
```

Relative energy among the computed polymorphs   190 meV/atom
Total moment   0.0 μB/cell
Formation energy   277 meV/atom
SG   C2/m, No. 12
N(E_F)   1.704 states/eV/atom

Entry from Alexandria via LeMat-Bulk: a relaxed BaPrMnN4 crystal (PBE).

The structure in CIF format:
```
data_BaPrMnN4
_symmetry_space_group_name_H-M 'P 1'
_symmetry_Int_Tables_number 1
_cell_length_a 5.888
_cell_length_b 5.586
_cell_length_c 7.531
_cell_angle_alpha 90.00
_cell_angle_beta 106.57
_cell_angle_gamma 90.00
loop_
_symmetry_equiv_pos_as_xyz
'x,y,z'
loop_
_atom_site_label
_atom_site_type_symbol
_atom_site_fract_x
_atom_site_fract_y
_atom_site_fract_z
Ba1 Ba 0.220 0.250 0.429
Ba2 Ba 0.780 0.750 0.571
Pr1 Pr 0.268 0.250 0.950
Pr2 Pr 0.732 0.750 0.050
Mn1 Mn 0.278 0.750 0.182
Mn2 Mn 0.722 0.250 0.818
N1 N 0.094 0.750 0.322
N2 N 0.111 0.750 0.958
N3 N 0.461 0.508 0.221
N4 N 0.461 0.992 0.221
N5 N 0.539 0.008 0.779
N6 N 0.539 0.492 0.779
N7 N 0.889 0.250 0.042
N8 N 0.906 0.250 0.678
```

Formation energy from raw total energies   -0.723 eV per atom
Total moment   0.0 μB/cell
SG   P2_1/m, No. 11

Entry from Alexandria via LeMat-Bulk: a relaxed PrCu12Si7 crystal (PBE).

The structure in CIF format:
```
data_PrCu12Si7
_symmetry_space_group_name_H-M 'P 1'
_symmetry_Int_Tables_number 1
_cell_length_a 7.527
_cell_length_b 7.527
_cell_length_c 7.527
_cell_angle_alpha 112.76
_cell_angle_beta 112.76
_cell_angle_gamma 112.76
loop_
_symmetry_equiv_pos_as_xyz
'x,y,z'
loop_
_atom_site_label
_atom_site_type_symbol
_atom_site_fract_x
_atom_site_fract_y
_atom_site_fract_z
Pr1 Pr 0.000 0.000 0.000
Cu1 Cu 0.000 0.260 0.740
Cu2 Cu 0.000 0.740 0.260
Cu3 Cu 0.100 0.431 0.431
Cu4 Cu 0.260 0.000 0.740
Cu5 Cu 0.260 0.740 0.000
Cu6 Cu 0.431 0.100 0.431
Cu7 Cu 0.431 0.431 0.100
Cu8 Cu 0.569 0.569 0.900
Cu9 Cu 0.569 0.900 0.569
Cu10 Cu 0.740 0.000 0.260
Cu11 Cu 0.740 0.260 0.000
Cu12 Cu 0.900 0.569 0.569
Si1 Si 0.174 0.174 0.525
Si2 Si 0.174 0.525 0.174
Si3 Si 0.475 0.826 0.826
Si4 Si 0.500 0.500 0.500
Si5 Si 0.525 0.174 0.174
Si6 Si 0.826 0.475 0.826
Si7 Si 0.826 0.826 0.475
```

Formation energy from raw total energies   -0.021 eV per atom
Total moment   0.0 μB/cell
SG   R-3m, No. 166
N(E_F)   0.212 states/eV/atom